DFT (GGA-PBE) results for crystalline TmHg2Pd8 at its relaxed geometry.

The structure in POSCAR format:
```
TmHg2Pd8
1.0
3.7173 -7.0572 0.0000
3.7173 7.0572 0.0000
-3.2465 0.0000 3.7559
Tm Hg Pd
1 2 8
Direct
0.0000 0.0000 0.0000
0.3146 0.6854 0.5000
0.6854 0.3146 0.5000
0.1043 0.3718 0.7279
0.1935 0.8065 0.0000
0.3718 0.1043 0.7279
0.4763 0.4763 0.2301
0.5237 0.5237 0.7699
0.6282 0.8957 0.2721
0.8065 0.1935 0.0000
0.8957 0.6282 0.2721
```

excess energy over the best structure of this formula in the dataset = 134 meV per atom
calculated volume = 17.915 Å³/atom
space-group type = No. 12
E_form = -25.93 kJ/mol of atoms


DFT (GGA-PBE) results for crystalline Cd2NiI6 at its relaxed geometry.

The structure in POSCAR format:
```
Cd2NiI6
1.0
6.9784 -2.1680 0.0000
6.9784 2.1680 0.0000
-1.7351 0.0000 12.1212
Cd Ni I
2 1 6
Direct
0.2078 0.2078 0.2522
0.7922 0.7922 0.7478
0.5000 0.5000 0.5000
0.1222 0.1222 0.4538
0.3557 0.3557 0.8887
0.4117 0.4117 0.2903
0.5883 0.5883 0.7097
0.6443 0.6443 0.1113
0.8778 0.8778 0.5462
```

calculated volume = 40.752 Å³/atom
space-group type = No. 12
formation energy without anion corrections = -0.356 eV/atom


DFT (GGA-PBE) results for crystalline La2ScRu at its relaxed geometry.

The structure in POSCAR format:
```
La2ScRu
1.0
-1.7837 2.6701 5.6647
1.7837 -2.6701 5.6647
1.7837 2.6701 -5.6647
La Sc Ru
2 1 1
Direct
0.0000 0.0000 0.0000
0.6983 0.1983 0.5000
0.3855 0.3855 0.0000
0.2151 0.7151 0.5000
```

excess energy over the best structure of this formula in the dataset = 0 meV per atom
calculated volume = 26.979 Å³/atom
space-group type = No. 44
E_form = -13.19 kJ/mol of atoms


DFT (GGA-PBE) results for crystalline LiThHg6 at its relaxed geometry.

The structure in POSCAR format:
```
LiThHg6
1.0
5.0645 0.0000 0.0000
0.0000 3.3485 5.7924
0.0000 -3.3485 5.7924
Li Th Hg
1 1 6
Direct
0.0000 0.0000 0.0000
0.5000 0.6697 0.6697
0.0000 0.0125 0.4968
0.0000 0.4968 0.0125
0.0000 0.4981 0.4981
0.5000 0.1637 0.1637
0.5000 0.1657 0.6763
0.5000 0.6763 0.1657
```

excess energy over the best structure of this formula in the dataset = 14 meV per atom
calculated volume = 24.557 Å³/atom
space-group type = No. 38
E_form = -17.36 kJ/mol of atoms